Ac3YHg4: relaxed, PBE.

Geometry as CIF:
```
data_Ac3YHg4
_symmetry_space_group_name_H-M 'P 4/m m m'
_symmetry_Int_Tables_number 123
_symmetry_space_group_name_Hall '-P 4 2'
_cell_length_a 3.9442
_cell_length_b 3.9442
_cell_length_c 16.0460
_cell_angle_alpha 90.00
_cell_angle_beta 90.00
_cell_angle_gamma 90.00
loop_
_atom_site_label
_atom_site_type_symbol
_atom_site_fract_x
_atom_site_fract_y
_atom_site_fract_z
Ac1 Ac 0.0000 0.0000 0.0000
Ac2 Ac 0.0000 0.0000 0.2603
Y1 Y 0.0000 0.0000 0.5000
Hg1 Hg 0.5000 0.5000 0.1288
Hg2 Hg 0.5000 0.5000 0.3955
```

Properties
The energy of formation is -0.46 eV/atom. As for the crystal system: tetragonal.